A plane-wave DFT calculation with PBE-GGA was carried out for a relaxed structure of MnBe2Cl.

Cell and atoms, written as POSCAR:
```
MnBe2Cl
1.0
-0.230 -1.776 -2.954
-2.089 -2.743 -0.208
-3.881 3.077 -1.543
Be Cl Mn
2 1 1
direct
0.958 0.958 0.978
0.625 0.625 0.884
0.625 0.625 0.478
0.292 0.292 0.161
```

Output
Raw total energy: -18.19 eV/cell
ΔE_f (raw): 70.8 meV per atom

=====

A plane-wave DFT calculation with PBE-GGA was carried out for a relaxed structure of Sr2SiPPd6.

Cell and atoms, written as POSCAR:
```
Sr2SiPPd6
1.0
-5.539 3.179 -1.321
-2.981 -3.070 5.092
-2.897 3.553 4.637
Si P Pd Sr
1 1 6 2
direct
0.000 0.000 0.000
0.500 0.500 0.000
0.176 0.672 0.075
0.748 0.671 0.504
0.252 0.329 0.496
0.251 0.328 0.925
0.824 0.328 0.925
0.749 0.672 0.075
0.282 0.845 0.436
0.718 0.155 0.564
```

Output
Raw total energy: -52.82 eV/cell
ΔE_f (raw): -746.9 meV per atom

=====

A plane-wave DFT calculation with PBE-GGA was carried out for a relaxed structure of BaCaGa2.

Cell and atoms, written as POSCAR:
```
BaCaGa2
1.0
3.896 0.000 0.000
0.000 5.553 0.000
0.000 0.000 5.553
Ba Ca Ga
1 1 2
direct
0.500 0.500 0.500
0.500 0.000 0.000
0.000 0.500 0.000
0.000 0.000 0.500
```

Output
Raw total energy: -11.15 eV/cell

=====

A plane-wave DFT calculation with PBE-GGA was carried out for a relaxed structure of Pm4SiTe2Br.

Cell and atoms, written as POSCAR:
```
Pm4SiTe2Br
1.0
-3.208 -0.621 -2.830
-4.811 -1.249 5.728
-0.002 7.448 -1.633
Si Te Pm Br
1 2 4 1
direct
0.500 0.500 0.000
0.000 0.500 0.500
0.500 0.000 0.500
0.500 0.731 0.768
0.500 0.269 0.232
0.000 0.278 0.779
0.000 0.722 0.221
0.000 0.000 0.000
```

Output
Raw total energy: -42.32 eV/cell
ΔE_f (raw): -1242.7 meV per atom

=====

A plane-wave DFT calculation with PBE-GGA was carried out for a relaxed structure of NiAg2Rh.

Cell and atoms, written as POSCAR:
```
NiAg2Rh
1.0
-0.123 -3.843 -0.492
3.764 -0.002 -0.925
0.959 -0.531 3.904
Ag Ni Rh
2 1 1
direct
0.500 0.500 0.000
0.000 0.000 0.000
0.500 0.000 0.500
0.000 0.500 0.500
```

Output
Raw total energy: -17.48 eV/cell

=====

A plane-wave DFT calculation with PBE-GGA was carried out for a relaxed structure of AgPt2Br.

Cell and atoms, written as POSCAR:
```
AgPt2Br
1.0
0.000 3.286 3.286
3.286 0.000 3.286
3.286 3.286 0.000
Pt Br Ag
2 1 1
direct
0.750 0.750 0.750
0.250 0.250 0.250
0.000 0.000 0.000
0.500 0.500 0.500
```

Output
Raw total energy: -14.04 eV/cell
ΔE_f (raw): 640.9 meV per atom